Entry 1:
# KCdC3N3O3 PBE relaxed
data_KCdC3N3O3
_symmetry_space_group_name_H-M 'P n m a'
_symmetry_Int_Tables_number 62
_cell_length_a 9.939
_cell_length_b 3.626
_cell_length_c 18.183
_cell_angle_alpha 90.00
_cell_angle_beta 90.00
_cell_angle_gamma 90.00
loop_
_symmetry_equiv_pos_as_xyz
'x,y,z'
'-x,-y,-z'
'-x+1/2,-y,z+1/2'
'x+1/2,y,-z+1/2'
'x+1/2,-y+1/2,-z+1/2'
'-x+1/2,y+1/2,z+1/2'
'-x,y+1/2,-z'
'x,-y+1/2,z'
loop_
_atom_site_label
_atom_site_type_symbol
_atom_site_fract_x
_atom_site_fract_y
_atom_site_fract_z
_atom_site_occupancy
K1 K 0.072 0.250 0.164 1
Cd1 Cd 0.137 0.250 0.545 1
C1 C 0.089 0.250 0.374 1
C2 C 0.133 0.250 0.970 1
C3 C 0.149 0.250 0.714 1
N1 N 0.024 0.250 0.430 1
N2 N 0.218 0.250 0.660 1
N3 N 0.231 0.250 0.008 1
O1 O 0.034 0.250 0.932 1
O2 O 0.082 0.250 0.770 1
O3 O 0.152 0.250 0.318 1
# ρ = 2.81 g/cm³
# raw total energy = -7.03 eV per atom


Entry 2:
# Lu3CdC PBE relaxed
data_Lu3CdC
_symmetry_space_group_name_H-M 'P m -3 m'
_symmetry_Int_Tables_number 221
_symmetry_space_group_name_Hall '-P 4 2 3'
_cell_length_a 4.791
_cell_length_b 4.791
_cell_length_c 4.791
_cell_angle_alpha 90.00
_cell_angle_beta 90.00
_cell_angle_gamma 90.00
loop_
_atom_site_label
_atom_site_type_symbol
_atom_site_fract_x
_atom_site_fract_y
_atom_site_fract_z
_atom_site_occupancy
Lu1 Lu 0.000 0.000 0.500 1
Cd1 Cd 0.500 0.500 0.500 1
C1 C 0.000 0.000 0.000 1
# magnetization = 0.92 μB/cell
# ρ = 9.80 g/cm³
# raw total energy = -5.12 eV per atom


Entry 3:
# Lu8Cd2C3N3 PBE relaxed
data_Lu8Cd2C3N3
_symmetry_space_group_name_H-M 'P -3 m 1'
_symmetry_Int_Tables_number 164
_symmetry_space_group_name_Hall '-P 3 2"'
_cell_length_a 3.4127
_cell_length_b 3.4127
_cell_length_c 27.2303
_cell_angle_alpha 90.00
_cell_angle_beta 90.00
_cell_angle_gamma 120.00
loop_
_atom_site_label
_atom_site_type_symbol
_atom_site_fract_x
_atom_site_fract_y
_atom_site_fract_z
_atom_site_occupancy
Lu1 Lu 0.0000 0.0000 0.1467 1
Lu2 Lu 0.0000 0.0000 0.3467 1
Lu3 Lu 0.3333 0.6667 0.5531 1
Lu4 Lu 0.3333 0.6667 0.9514 1
Cd1 Cd 0.3333 0.6667 0.7585 1
C1 C 0.0000 0.0000 0.5000 1
C2 C 0.3333 0.6667 0.3893 1
N1 N 0.0000 0.0000 0.0000 1
N2 N 0.3333 0.6667 0.1022 1
# magnetization = 0.03 μB/cell
# ρ = 10.29 g/cm³
# raw total energy = -6.52 eV per atom


Entry 4:
# Lu4Cd2CN PBE relaxed
data_Lu4Cd2CN
_symmetry_space_group_name_H-M 'P -3 m 1'
_symmetry_Int_Tables_number 164
_symmetry_space_group_name_Hall '-P 3 2"'
_cell_length_a 3.4400
_cell_length_b 3.4400
_cell_length_c 15.7633
_cell_angle_alpha 90.00
_cell_angle_beta 90.00
_cell_angle_gamma 120.00
loop_
_atom_site_label
_atom_site_type_symbol
_atom_site_fract_x
_atom_site_fract_y
_atom_site_fract_z
_atom_site_occupancy
Lu1 Lu 0.3333 0.6667 0.0836 1
Lu2 Lu 0.3333 0.6667 0.4168 1
Cd1 Cd 0.3333 0.6667 0.7464 1
C1 C 0.0000 0.0000 0.0000 1
N1 N 0.0000 0.0000 0.5000 1
# magnetization = 0.56 μB/cell
# ρ = 9.77 g/cm³
# raw total energy = -5.34 eV per atom


Entry 5:
# Lu3CdCN PBE relaxed
data_Lu3CdCN
_symmetry_space_group_name_H-M 'P -3 m 1'
_symmetry_Int_Tables_number 164
_symmetry_space_group_name_Hall '-P 3 2"'
_cell_length_a 3.4270
_cell_length_b 3.4270
_cell_length_c 21.5584
_cell_angle_alpha 90.00
_cell_angle_beta 90.00
_cell_angle_gamma 120.00
loop_
_atom_site_label
_atom_site_type_symbol
_atom_site_fract_x
_atom_site_fract_y
_atom_site_fract_z
_atom_site_occupancy
Lu1 Lu 0.0000 0.0000 0.0000 1
Lu2 Lu 0.0000 0.0000 0.5000 1
Lu3 Lu 0.3333 0.6667 0.1224 1
Lu4 Lu 0.3333 0.6667 0.3754 1
Cd1 Cd 0.0000 0.0000 0.2420 1
C1 C 0.3333 0.6667 0.5710 1
N1 N 0.3333 0.6667 0.9350 1
# magnetization = 0.00 μB/cell
# ρ = 10.05 g/cm³
# raw total energy = -6.14 eV per atom


Entry 6:
# Lu2Nb4Cd3C3 PBE relaxed
data_Lu2Nb4Cd3C3
_symmetry_space_group_name_H-M 'C 1 2/c 1'
_symmetry_Int_Tables_number 15
_cell_length_a 9.893
_cell_length_b 5.714
_cell_length_c 15.012
_cell_angle_alpha 90.00
_cell_angle_beta 103.03
_cell_angle_gamma 90.00
loop_
_symmetry_equiv_pos_as_xyz
'x,y,z'
'-x,-y,-z'
'-x,y,-z+1/2'
'x,-y,z+1/2'
'x+1/2,y+1/2,z'
'-x+1/2,-y+1/2,-z'
'-x+1/2,y+1/2,-z+1/2'
'x+1/2,-y+1/2,z+1/2'
loop_
_atom_site_label
_atom_site_type_symbol
_atom_site_fract_x
_atom_site_fract_y
_atom_site_fract_z
_atom_site_occupancy
Lu1 Lu 0.043 0.079 0.396 1
Nb1 Nb 0.108 0.406 0.574 1
Nb2 Nb 0.230 0.421 0.926 1
Cd1 Cd 0.000 0.438 0.750 1
Cd2 Cd 0.239 0.153 0.752 1
C1 C 0.085 0.256 0.000 1
C2 C 0.250 0.250 0.500 1
# magnetization = 0.01 μB/cell
# ρ = 8.80 g/cm³
# raw total energy = -7.06 eV per atom


Entry 7:
# Lu4CdNiC2 PBE relaxed
data_Lu4CdNiC2
_symmetry_space_group_name_H-M 'P -6 m 2'
_symmetry_Int_Tables_number 187
_symmetry_space_group_name_Hall 'P -6 2'
_cell_length_a 3.5079
_cell_length_b 3.5079
_cell_length_c 14.4620
_cell_angle_alpha 90.00
_cell_angle_beta 90.00
_cell_angle_gamma 120.00
loop_
_atom_site_label
_atom_site_type_symbol
_atom_site_fract_x
_atom_site_fract_y
_atom_site_fract_z
_atom_site_occupancy
Lu1 Lu 0.0000 0.0000 0.1329 1
Lu2 Lu 0.3333 0.6667 0.3140 1
Cd1 Cd 0.0000 0.0000 0.5000 1
Ni1 Ni 0.3333 0.6667 0.0000 1
C1 C 0.6667 0.3333 0.2273 1
# magnetization = 0.78 μB/cell
# ρ = 9.64 g/cm³
# raw total energy = -5.70 eV per atom


Entry 8:
# Lu4CdNiC2 PBE relaxed
data_Lu4CdNiC2
_symmetry_space_group_name_H-M 'P -6 m 2'
_symmetry_Int_Tables_number 187
_symmetry_space_group_name_Hall 'P -6 2'
_cell_length_a 3.5104
_cell_length_b 3.5104
_cell_length_c 14.4784
_cell_angle_alpha 90.00
_cell_angle_beta 90.00
_cell_angle_gamma 120.00
loop_
_atom_site_label
_atom_site_type_symbol
_atom_site_fract_x
_atom_site_fract_y
_atom_site_fract_z
_atom_site_occupancy
Lu1 Lu 0.0000 0.0000 0.1322 1
Lu2 Lu 0.6667 0.3333 0.3132 1
Cd1 Cd 0.0000 0.0000 0.5000 1
Ni1 Ni 0.6667 0.3333 0.0000 1
C1 C 0.3333 0.6667 0.2260 1
# magnetization = 0.74 μB/cell
# ρ = 9.62 g/cm³
# raw total energy = -5.70 eV per atom